1.
! La2Re2As (GGA-PBE, relaxed); values from VASP
&SYSTEM
  ibrav = 0, nat = 5, ntyp = 3
/
ATOMIC_SPECIES
La 138.91 La.upf
Re 186.21 Re.upf
As 74.92 As.upf
CELL_PARAMETERS angstrom
-1.830 1.830 8.934
1.830 -1.830 8.934
1.830 1.830 -8.934
ATOMIC_POSITIONS crystal
La 0.100 0.100 0.000
La 0.900 0.900 0.000
Re 0.250 0.750 0.500
Re 0.750 0.250 0.500
As 0.500 0.500 0.000
! Space-group type: I4/mmm, No. 139
! E_form (meV per atom): -220.2



2.
! La2ReAs (GGA-PBE, relaxed); values from VASP
&SYSTEM
  ibrav = 0, nat = 4, ntyp = 3
/
ATOMIC_SPECIES
La 138.91 La.upf
Re 186.21 Re.upf
As 74.92 As.upf
CELL_PARAMETERS angstrom
2.185 1.262 7.301
-2.185 1.262 7.301
0.000 -2.524 7.301
ATOMIC_POSITIONS crystal
La 0.000 0.000 0.000
La 0.167 0.167 0.167
Re 0.750 0.750 0.750
As 0.417 0.417 0.417
! Space-group type: R3m, No. 160
! E_form (meV per atom): -311.1



| no. | uncorrected energy (eV per atom) | size of the total moment (μB/atom) | D(E_F) (states/eV/cell) |
| --- | --- | --- | --- |
| 1 | -8.100 | 0.0029 | 2.5 |
| 2 | -7.049 | 0.0003 | 4.7 |